Record 1
VASP calculation (GGA-PBE) on a relaxed TlInHgSe3 crystal.

a = 8.221 Å, b = 4.242 Å, c = 11.716 Å
α = 90.00°, β = 103.17°, γ = 90.00°
Element x y z (fractional)
Tl  0.115  0.250  0.339
Tl  0.885  0.750  0.661
In  0.309  0.250  0.710
In  0.691  0.750  0.290
Hg  0.291  0.250  0.049
Hg  0.709  0.750  0.951
Se  0.095  0.250  0.844
Se  0.247  0.750  0.572
Se  0.369  0.750  0.189
Se  0.631  0.250  0.811
Se  0.753  0.250  0.428
Se  0.905  0.750  0.156

uncorrected formation energy = -2.23 eV per formula unit
total magnetic moment = 0.00 μB/f.u.
ρ = 6.3 g/cm³
total DFT energy (no corrections) = -3.016 eV per atom
SG = P2_1/m, No. 11

Record 2
VASP calculation (GGA-PBE) on a relaxed TcNiAg3 crystal.

a = 4.729 Å, b = 4.729 Å, c = 4.729 Å
α = 90.00°, β = 90.00°, γ = 90.00°
Element x y z (fractional)
Tc  0.000  0.000  0.000
Ni  0.500  0.500  0.500
Ag  0.000  0.500  0.500
Ag  0.500  0.000  0.500
Ag  0.500  0.500  0.000

total magnetic moment = 4.25 μB/f.u.
energy above the lowest structure with this stoichiometry = 0 meV per atom
ΔE_f = 1318.7 meV/atom
ρ = 7.5 g/cm³
total DFT energy (no corrections) = -3.622 eV per atom
SG = Pm-3m, No. 221

Record 3
VASP calculation (GGA-PBE) on a relaxed SbMoP2 crystal.

a = 3.538 Å, b = 4.583 Å, c = 4.705 Å
α = 90.00°, β = 98.91°, γ = 90.00°
Element x y z (fractional)
Sb  0.000  0.000  0.000
Mo  0.500  0.000  0.500
P  0.279  0.500  0.648
P  0.721  0.500  0.352

uncorrected formation energy = 0.77 eV per formula unit
total magnetic moment = 0.00 μB/f.u.
ρ = 6.2 g/cm³
total DFT energy (no corrections) = -6.250 eV per atom
SG = P2/m, No. 10

Record 4
VASP calculation (GGA-PBE) on a relaxed SrCrRe2 crystal.

a = 4.614 Å, b = 4.614 Å, c = 4.614 Å
α = 60.00°, β = 60.00°, γ = 60.00°
Element x y z (fractional)
Sr  0.000  0.000  0.000
Cr  0.250  0.250  0.250
Re  0.500  0.500  0.500
Re  0.750  0.750  0.750

total magnetic moment = 1.77 μB/f.u.
energy above the lowest structure with this stoichiometry = 432 meV per atom
ΔE_f = 1054.7 meV/atom
ρ = 12.2 g/cm³
total DFT energy (no corrections) = -7.996 eV per atom
SG = F-43m, No. 216

Record 5
VASP calculation (GGA-PBE) on a relaxed Ac3La crystal.

a = 7.515 Å, b = 7.515 Å, c = 7.515 Å
α = 149.40°, β = 63.64°, γ = 125.69°
Element x y z (fractional)
Ac  0.000  0.000  0.000
Ac  0.419  0.667  0.752
Ac  0.914  0.667  0.248
La  0.497  0.997  0.500

total magnetic moment = 0.00 μB/f.u.
energy above the lowest structure with this stoichiometry = 20 meV per atom
ΔE_f = 33.7 meV/atom
ρ = 7.8 g/cm³
total DFT energy (no corrections) = -4.280 eV per atom
SG = Imm2, No. 44

Record 6
VASP calculation (GGA-PBE) on a relaxed ZnPt2 crystal.

a = 4.148 Å, b = 4.148 Å, c = 4.148 Å
α = 60.00°, β = 60.00°, γ = 60.00°
Element x y z (fractional)
Zn  0.000  0.000  0.000
Pt  0.250  0.250  0.250
Pt  0.750  0.750  0.750

total magnetic moment = 0.00 μB/f.u.
ΔE_f = -150.6 meV/atom
ρ = 15.0 g/cm³
total DFT energy (no corrections) = -4.602 eV per atom
SG = Fm-3m, No. 225

Record 7
VASP calculation (GGA-PBE) on a relaxed PaCdGa2 crystal.

a = 4.913 Å, b = 4.913 Å, c = 4.913 Å
α = 60.00°, β = 60.00°, γ = 60.00°
Element x y z (fractional)
Pa  0.000  0.000  0.000
Cd  0.500  0.500  0.500
Ga  0.250  0.250  0.250
Ga  0.750  0.750  0.750

total magnetic moment = 0.57 μB/f.u.
energy above the lowest structure with this stoichiometry = 79 meV per atom
ΔE_f = -98.9 meV/atom
ρ = 9.6 g/cm³
total DFT energy (no corrections) = -4.215 eV per atom
SG = Fm-3m, No. 225

Record 8
VASP calculation (GGA-PBE) on a relaxed Rb2NdOsO6 crystal.

a = 6.060 Å, b = 6.060 Å, c = 6.060 Å
α = 60.00°, β = 60.00°, γ = 60.00°
Element x y z (fractional)
Rb  0.250  0.250  0.250
Rb  0.750  0.750  0.750
Nd  0.000  0.000  0.000
Os  0.500  0.500  0.500
O  0.277  0.277  0.723
O  0.277  0.723  0.277
O  0.277  0.723  0.723
O  0.723  0.277  0.277
O  0.723  0.277  0.723
O  0.723  0.723  0.277

uncorrected formation energy = -18.52 eV per formula unit
total magnetic moment = 0.00 μB/f.u.
ρ = 6.3 g/cm³
total DFT energy (no corrections) = -6.620 eV per atom
SG = Fm-3m, No. 225

Record 9
VASP calculation (GGA-PBE) on a relaxed TlP2Au crystal.

a = 4.735 Å, b = 4.735 Å, c = 4.735 Å
α = 110.28°, β = 110.28°, γ = 107.86°
Element x y z (fractional)
Tl  0.000  0.000  0.000
P  0.000  0.500  0.500
P  0.500  0.000  0.500
Au  0.500  0.500  0.000

total magnetic moment = 0.00 μB/f.u.
energy above the lowest structure with this stoichiometry = 417 meV per atom
ΔE_f = 386.9 meV/atom
ρ = 9.4 g/cm³
total DFT energy (no corrections) = -3.729 eV per atom
SG = I4/mmm, No. 139

Record 10
VASP calculation (GGA-PBE) on a relaxed CsSnAuCl2 crystal.

a = 5.669 Å, b = 5.669 Å, c = 5.289 Å
α = 90.00°, β = 90.00°, γ = 90.00°
Element x y z (fractional)
Cs  0.000  0.000  0.000
Sn  0.500  0.500  0.500
Au  0.500  0.500  0.000
Cl  0.000  0.500  0.500
Cl  0.500  0.000  0.500

uncorrected formation energy = -5.04 eV per formula unit
total magnetic moment = 0.00 μB/f.u.
ρ = 5.1 g/cm³
total DFT energy (no corrections) = -3.374 eV per atom
SG = P4/mmm, No. 123

Record 11
VASP calculation (GGA-PBE) on a relaxed HoZrBeN3 crystal.

a = 6.733 Å, b = 3.203 Å, c = 6.803 Å
α = 90.00°, β = 100.95°, γ = 90.00°
Element x y z (fractional)
Ho  0.213  0.250  0.175
Ho  0.787  0.750  0.825
Zr  0.178  0.250  0.656
Zr  0.822  0.750  0.344
Be  0.404  0.750  0.920
Be  0.596  0.250  0.080
N  0.146  0.750  0.880
N  0.165  0.750  0.424
N  0.492  0.250  0.832
N  0.508  0.750  0.168
N  0.835  0.250  0.576
N  0.854  0.250  0.120

uncorrected formation energy = -8.57 eV per formula unit
total magnetic moment = 0.00 μB/f.u.
ρ = 7.1 g/cm³
total DFT energy (no corrections) = -8.400 eV per atom
SG = P2_1/m, No. 11

Record 12
VASP calculation (GGA-PBE) on a relaxed HfZr5In3 crystal.

a = 8.775 Å, b = 8.775 Å, c = 6.044 Å
α = 90.00°, β = 90.00°, γ = 120.00°
Element x y z (fractional)
Hf  0.000  0.000  0.000
Hf  0.000  0.000  0.500
Zr  0.000  0.332  0.250
Zr  0.000  0.668  0.750
Zr  0.332  0.000  0.250
Zr  0.332  0.332  0.750
Zr  0.333  0.667  0.000
Zr  0.333  0.667  0.500
Zr  0.667  0.333  0.000
Zr  0.667  0.333  0.500
Zr  0.668  0.000  0.750
Zr  0.668  0.668  0.250
In  0.000  0.334  0.750
In  0.000  0.666  0.250
In  0.334  0.000  0.750
In  0.334  0.334  0.250
In  0.666  0.000  0.250
In  0.666  0.666  0.750

total magnetic moment = 0.00 μB/f.u.
ΔE_f = -228.5 meV/atom
ρ = 8.1 g/cm³
total DFT energy (no corrections) = -6.996 eV per atom
SG = P6_3/mcm, No. 193

Record 13
VASP calculation (GGA-PBE) on a relaxed GdTmCuPt crystal.

a = 4.917 Å, b = 4.917 Å, c = 4.917 Å
α = 60.00°, β = 60.00°, γ = 60.00°
Element x y z (fractional)
Gd  0.000  0.000  0.000
Tm  0.500  0.500  0.500
Cu  0.250  0.250  0.250
Pt  0.750  0.750  0.750

total magnetic moment = 7.09 μB/f.u.
ΔE_f = -764.8 meV/atom
ρ = 11.5 g/cm³
total DFT energy (no corrections) = -7.937 eV per atom
SG = F-43m, No. 216

Record 14
VASP calculation (GGA-PBE) on a relaxed GdHoTlZn crystal.

a = 5.233 Å, b = 5.233 Å, c = 5.233 Å
α = 60.00°, β = 60.00°, γ = 60.00°
Element x y z (fractional)
Gd  0.000  0.000  0.000
Ho  0.500  0.500  0.500
Tl  0.750  0.750  0.750
Zn  0.250  0.250  0.250

total magnetic moment = 7.86 μB/f.u.
ΔE_f = -341.2 meV/atom
ρ = 9.7 g/cm³
total DFT energy (no corrections) = -5.916 eV per atom
SG = F-43m, No. 216

Record 15
VASP calculation (GGA-PBE) on a relaxed Rb3PuPa3N8 crystal.

a = 7.945 Å, b = 7.945 Å, c = 7.945 Å
α = 53.47°, β = 53.47°, γ = 53.47°
Element x y z (fractional)
Rb  0.000  0.500  0.500
Rb  0.500  0.000  0.500
Rb  0.500  0.500  0.000
Pu  0.500  0.500  0.500
Pa  0.000  0.000  0.500
Pa  0.000  0.500  0.000
Pa  0.500  0.000  0.000
N  0.216  0.216  0.216
N  0.228  0.707  0.707
N  0.293  0.293  0.772
N  0.293  0.772  0.293
N  0.707  0.228  0.707
N  0.707  0.707  0.228
N  0.772  0.293  0.293
N  0.784  0.784  0.784

uncorrected formation energy = -15.98 eV per formula unit
total magnetic moment = 2.00 μB/f.u.
ρ = 7.2 g/cm³
total DFT energy (no corrections) = -8.554 eV per atom
SG = R-3m, No. 166

Record 16
VASP calculation (GGA-PBE) on a relaxed SrTl2Tc crystal.

a = 3.571 Å, b = 5.212 Å, c = 5.815 Å
α = 90.00°, β = 90.18°, γ = 90.00°
Element x y z (fractional)
Sr  0.000  0.000  0.000
Tl  0.499  0.500  0.772
Tl  0.502  0.000  0.470
Tc  0.500  0.500  0.265

total magnetic moment = 1.81 μB/f.u.
energy above the lowest structure with this stoichiometry = 189 meV per atom
ΔE_f = 510.1 meV/atom
ρ = 9.1 g/cm³
total DFT energy (no corrections) = -3.685 eV per atom
SG = Pm, No. 6

Record 17
VASP calculation (GGA-PBE) on a relaxed Tb2Ce4N crystal.

a = 8.998 Å, b = 8.998 Å, c = 8.998 Å
α = 148.46°, β = 148.46°, γ = 45.21°
Element x y z (fractional)
Tb  0.155  0.155  0.000
Tb  0.845  0.845  0.000
Ce  0.000  0.500  0.500
Ce  0.359  0.359  0.000
Ce  0.500  0.000  0.500
Ce  0.641  0.641  0.000
N  0.500  0.500  0.000

uncorrected formation energy = -1.23 eV per formula unit
total magnetic moment = 1.62 μB/f.u.
ρ = 7.5 g/cm³
total DFT energy (no corrections) = -6.079 eV per atom
SG = I4/mmm, No. 139

Record 18
VASP calculation (GGA-PBE) on a relaxed RbSmTeI crystal.

a = 4.493 Å, b = 4.493 Å, c = 9.304 Å
α = 103.92°, β = 103.92°, γ = 60.06°
Element x y z (fractional)
Rb  0.000  0.000  0.000
Sm  0.181  0.181  0.542
Te  0.578  0.578  0.735
I  0.771  0.771  0.315

uncorrected formation energy = -4.78 eV per formula unit
total magnetic moment = 0.00 μB/f.u.
ρ = 5.2 g/cm³
total DFT energy (no corrections) = -3.790 eV per atom
SG = Cm, No. 8

Record 19
VASP calculation (GGA-PBE) on a relaxed Sr4GeP4 crystal.

a = 12.573 Å, b = 12.573 Å, c = 12.573 Å
α = 90.00°, β = 90.00°, γ = 90.00°
Element x y z (fractional)
Sr  0.096  0.133  0.645
Sr  0.096  0.867  0.355
Sr  0.133  0.355  0.904
Sr  0.133  0.645  0.096
Sr  0.145  0.145  0.145
Sr  0.145  0.367  0.404
Sr  0.145  0.633  0.596
Sr  0.145  0.855  0.855
Sr  0.355  0.096  0.867
Sr  0.355  0.355  0.645
Sr  0.355  0.645  0.355
Sr  0.355  0.904  0.133
Sr  0.367  0.404  0.145
Sr  0.367  0.596  0.855
Sr  0.404  0.145  0.367
Sr  0.404  0.855  0.633
Sr  0.596  0.145  0.633
Sr  0.596  0.855  0.367
Sr  0.633  0.404  0.855
Sr  0.633  0.596  0.145
Sr  0.645  0.096  0.133
Sr  0.645  0.355  0.355
Sr  0.645  0.645  0.645
Sr  0.645  0.904  0.867
Sr  0.855  0.145  0.855
Sr  0.855  0.367  0.596
Sr  0.855  0.633  0.404
Sr  0.855  0.855  0.145
Sr  0.867  0.355  0.096
Sr  0.867  0.645  0.904
Sr  0.904  0.133  0.355
Sr  0.904  0.867  0.645
Ge  0.000  0.000  0.000
Ge  0.000  0.500  0.250
Ge  0.000  0.500  0.750
Ge  0.250  0.000  0.500
Ge  0.500  0.250  0.000
Ge  0.500  0.500  0.500
Ge  0.500  0.750  0.000
Ge  0.750  0.000  0.500
P  0.107  0.382  0.647
P  0.107  0.618  0.353
P  0.109  0.109  0.891
P  0.109  0.891  0.109
P  0.118  0.393  0.147
P  0.118  0.607  0.853
P  0.147  0.118  0.393
P  0.147  0.882  0.607
P  0.353  0.107  0.618
P  0.353  0.893  0.382
P  0.382  0.353  0.893
P  0.382  0.647  0.107
P  0.391  0.391  0.391
P  0.391  0.609  0.609
P  0.393  0.147  0.118
P  0.393  0.853  0.882
P  0.607  0.147  0.882
P  0.607  0.853  0.118
P  0.609  0.391  0.609
P  0.609  0.609  0.391
P  0.618  0.353  0.107
P  0.618  0.647  0.893
P  0.647  0.107  0.382
P  0.647  0.893  0.618
P  0.853  0.118  0.607
P  0.853  0.882  0.393
P  0.882  0.393  0.853
P  0.882  0.607  0.147
P  0.891  0.109  0.109
P  0.891  0.891  0.891
P  0.893  0.382  0.353
P  0.893  0.618  0.647

total magnetic moment = 0.00 μB/f.u.
energy above the lowest structure with this stoichiometry = 0 meV per atom
ΔE_f = -962.0 meV/atom
ρ = 3.7 g/cm³
total DFT energy (no corrections) = -4.627 eV per atom
SG = P-43n, No. 218